Compound: PrNd3Sc2
Source: the Alexandria database
Functional: PBE
Structure: optimized geometry

Lattice parameters (Å, degrees): 8.8172 8.8172 5.5341 90.00 90.00 68.61
With the nearest neighbours (Å) after each atom.
Sites, in units of the cell vectors:
Pr  0.2329  0.7671  0.7500  2 Nd 3.23, 6 Sc 3.47-3.54
Pr  0.7671  0.2329  0.2500  2 Nd 3.23, 6 Sc 3.47-3.54
Nd  0.1308  0.3924  0.2500  2 Sc 3.16-3.40, 1 Nd 3.49
Nd  0.3924  0.1308  0.7500  2 Sc 3.16-3.40, 1 Nd 3.49
Nd  0.4015  0.5985  0.2500  2 Pr 3.23, 4 Nd 3.39-3.49, 2 Sc 3.46
Nd  0.5985  0.4015  0.7500  2 Pr 3.23, 4 Nd 3.39-3.49, 2 Sc 3.46
Nd  0.6076  0.8692  0.2500  2 Sc 3.16-3.40, 1 Nd 3.49
Nd  0.8692  0.6076  0.7500  2 Sc 3.16-3.40, 1 Nd 3.49
Sc  0.0155  0.1936  0.7500  3 Sc 3.04-3.28, 2 Nd 3.16-3.40
Sc  0.1936  0.0155  0.2500  3 Sc 3.04-3.28, 2 Nd 3.16-3.40
Sc  0.8064  0.9845  0.7500  3 Sc 3.04-3.28, 2 Nd 3.16-3.40
Sc  0.9845  0.8064  0.2500  3 Sc 3.04-3.28, 2 Nd 3.16-3.40

As for the formation energy: 0.2600 eV/atom.